# 1
# TiP3Os

A relaxed structure of TiP3Os (PBE-GGA, Alexandria via LeMat-Bulk).

As for the formation enthalpy at 0 K: 1176 meV/atom. The energy above the most stable polymorph in this dataset comes out at 0.386 eV per atom. The calculation puts the volume at 18.9 A^3/atom. The magnetization is 1.1 μB/cell. The density of states at the Fermi level comes out at 4.15 states/eV/cell.

The structure belongs to space group Pm-3m (No. 221); the cell edges are 4.557, 4.557 and 4.557 Å and the angles 90.00°, 90.00° and 90.00°. Symmetry generates all atoms from Ti at (0.000, 0.000, 0.000), P at (0.000, 0.000, 0.500) and Os at (0.500, 0.500, 0.500).

# 2
# AlTcPb4

A relaxed structure of AlTcPb4 (PBE-GGA, Alexandria via LeMat-Bulk).

As for the formation enthalpy at 0 K: 951 meV/atom. The calculation puts the volume at 29.7 A^3/atom. The magnetization is 13.1 μB/cell. The density of states at the Fermi level comes out at 21.75 states/eV/cell.

The structure belongs to space group F-43m (No. 216); the cell edges are 8.932, 8.932 and 8.932 Å and the angles 90.00°, 90.00° and 90.00°. Symmetry generates all atoms from Al at (0.000, 0.000, 0.000), Tc at (0.250, 0.250, 0.250) and Pb at (0.125, 0.125, 0.625).

# 3
# Al2Zn5Ag12

A relaxed structure of Al2Zn5Ag12 (PBE-GGA, Alexandria via LeMat-Bulk).

As for the formation enthalpy at 0 K: 121 meV/atom. The energy above the most stable polymorph in this dataset comes out at 0.029 eV per atom. The calculation puts the volume at 18.8 A^3/atom. The magnetization is 0.0 μB/cell. The density of states at the Fermi level comes out at 11.84 states/eV/cell.

The structure belongs to space group C2/m (No. 12); the cell edges are 14.572, 5.783 and 8.672 Å and the angles 90.00°, 102.11° and 90.00°. Symmetry generates all atoms from Al at (0.000, 0.242, 0.000), Zn at (0.000, 0.500, 0.500), Zn at (0.133, 0.000, 0.881), Zn at (0.224, 0.000, 0.427), Ag at (0.037, 0.000, 0.309), Ag at (0.065, 0.500, 0.253), Ag at (0.135, 0.240, 0.616) and Ag at (0.203, 0.250, 0.135).

# 4
# YTcNiW2

A relaxed structure of YTcNiW2 (PBE-GGA, Alexandria via LeMat-Bulk).

As for the formation enthalpy at 0 K: 1368 meV/atom. The calculation puts the volume at 19.7 A^3/atom. The magnetization is 0.5 μB/cell. The density of states at the Fermi level comes out at 7.88 states/eV/cell.

The structure belongs to space group P4/mmm (No. 123); the cell edges are 4.485, 4.485 and 4.909 Å and the angles 90.00°, 90.00° and 90.00°. Symmetry generates all atoms from Y at (0.000, 0.000, 0.000), Tc at (0.500, 0.500, 0.000), Ni at (0.000, 0.000, 0.500) and W at (0.000, 0.500, 0.500).

Question: Which formula does entry 2 have?
Answer: AlTcPb4